This record from Alexandria describes an optimized crystal structure of NdFeMoP2. The functional is PBE.

## Properties
The energy of formation is -0.76 eV/atom. The volume is 86 Å³/cell. Its uncorrected energy is -7.74 eV/atom.

The structure in extended XYZ format:
```
5
Lattice="-1.976 1.976 5.483 1.976 -1.976 5.483 1.976 1.976 -5.483" Properties=species:S:1:pos:R:3 pbc="T T T"
Nd 0.000 0.000 0.000
Fe 1.976 0.000 2.742
Mo 0.000 1.976 2.742
P 0.000 0.000 4.015
P 0.000 0.000 6.951
```